GGA-PBE Sr3ScSb2O8, optimized geometry; crystal system = trigonal; final energy = -6.39 eV/atom; SG = P-3m1 (164); formation energy without anion corrections = -207.7 kJ per mole of atoms; total magnetic moment = 0.751 μB per formula unit
1.0
-2.875 -4.451 2.495
4.717 -1.049 -3.309
4.523 0.588 6.261
O Sr Sb Sc
8 3 2 1
direct
0.667 0.834 0.339
0.333 0.166 0.661
0.333 0.667 0.923
0.834 0.166 0.661
0.834 0.667 0.661
0.166 0.333 0.339
0.667 0.333 0.077
0.166 0.834 0.339
0.000 0.000 0.000
0.333 0.667 0.623
0.667 0.333 0.377
0.333 0.667 0.191
0.667 0.333 0.809
0.000 0.000 0.500

---

GGA-PBE Tb2ScSb2O2, optimized geometry; crystal system = tetragonal; final energy = -6.83 eV/atom; SG = I4/mmm (139); formation energy without anion corrections = -193.6 kJ per mole of atoms; total magnetic moment = 0.000 μB per formula unit
1.0
-2.675 0.354 3.129
-0.598 -4.088 -0.049
7.671 0.921 3.727
Sb O Sc Tb
2 2 1 2
direct
0.812 0.812 0.624
0.188 0.188 0.376
0.000 0.500 0.000
0.500 0.000 0.000
0.000 0.000 0.000
0.390 0.390 0.780
0.610 0.610 0.220